# 1
Here is crystalline Sm12Er7Tm at its relaxed geometry from Alexandria. Energies are from PBE-GGA.

Lattice parameters (Å, degrees): 19.5339 19.5339 6.1449 90.00 90.00 120.00
With the nearest neighbours (Å) after each atom.
Space group R-3m (No. 166, hexagonal axes)
One atom of each set of equivalent atoms:
Sm1 0.0000 0.4135 0.0000  2 Er 3.36, 5 Sm 3.38-3.70
Sm2 0.0980 0.5490 0.4628  4 Er 3.30-3.57, 1 Sm 3.35
Er1 0.0000 0.0000 0.0000  2 Tm 3.07, 6 Er 3.29
Er2 0.0811 0.1623 0.2941  1 Tm 3.02, 1 Er 3.29, 4 Sm 3.30-3.36
Tm1 0.0000 0.0000 0.5000  8 Er 3.02-3.07

Values from the calculation:
Offset from the most stable computed form (eV/atom): 0.0000
Energy of formation (eV/f.u.): 5.0
Total magnetization (μB/cell): 0.00

# 2
Here is crystalline K2HfMo at its relaxed geometry from Alexandria. Energies are from PBE-GGA.

Lattice parameters (Å, degrees): 12.6320 12.6320 4.8043 90.00 90.00 90.00
With the nearest neighbours (Å) after each atom.
Space group I-42d (No. 122)
One atom of each set of equivalent atoms:
K1 0.1042 0.2500 0.1250  2 Mo 3.47, 2 Hf 3.87
Hf1 0.0000 0.0000 0.5000  2 Mo 2.40
Mo1 0.0000 0.0000 0.0000  2 Hf 2.40

Values from the calculation:
Offset from the most stable computed form (eV/atom): 0.0000
Energy of formation (eV/f.u.): 6.0
Total magnetization (μB/cell): 5.77

Question: Which value of offset from the most stable computed form does entry 2 give?
Answer: 0.0000 eV/atom

Question: Number 1 is which compound?
Answer: Sm12Er7Tm

Question: offset from the most stable computed form of number 1 (Sm12Er7Tm)?
Answer: 0.0000 eV/atom

Question: Look up the energy of formation of the second one.
Answer: 6.0 eV/f.u.